# 1
# NdSmEu2

A geometry-optimized NdSmEu2 structure (PBE, Alexandria via LeMat-Bulk).

Cell: 5.9495 5.9495 5.9495 Å, 60.00 60.00 60.00°
Last column: nearest neighbours and their distance in Å.
Positions (direct):
Eu: 0.2500 0.2500 0.2500  4 Nd 3.64, 4 Sm 3.64
Eu: 0.7500 0.7500 0.7500  4 Nd 3.64, 4 Sm 3.64
Nd: 0.5000 0.5000 0.5000  8 Eu 3.64
Sm: 0.0000 0.0000 0.0000  8 Eu 3.64

Properties
E above lowest polymorph	57.2	meV/atom
formation energy	0.136	eV/atom

=====

# 2
# Zn2Cu2As

A geometry-optimized Zn2Cu2As structure (PBE, Alexandria via LeMat-Bulk).

Cell: 7.5009 7.5009 2.6468 Å, 90.00 90.00 90.00°
Last column: nearest neighbours and their distance in Å.
Positions (direct):
As: 0.0000 0.0000 0.0000  2 As 2.65
As: 0.5000 0.5000 0.0000  2 As 2.65
Zn: 0.3753 0.8753 0.0000  6 Cu 2.53-2.61, 3 Zn 2.65
Zn: 0.8753 0.6247 0.0000  6 Cu 2.53-2.61, 3 Zn 2.65
Zn: 0.6247 0.1247 0.0000  6 Cu 2.53-2.61, 3 Zn 2.65
Zn: 0.1247 0.3753 0.0000  6 Cu 2.53-2.61, 3 Zn 2.65
Cu: 0.1716 0.6716 0.5000  6 Zn 2.53-2.61, 2 Cu 2.65
Cu: 0.6716 0.8284 0.5000  6 Zn 2.53-2.61, 2 Cu 2.65
Cu: 0.8284 0.3284 0.5000  6 Zn 2.53-2.61, 2 Cu 2.65
Cu: 0.3284 0.1716 0.5000  6 Zn 2.53-2.61, 2 Cu 2.65

Properties
E above lowest polymorph	39.0	meV/atom
formation energy	0.124	eV/atom

=====

# 3
# ZnNi5

A geometry-optimized ZnNi5 structure (PBE, Alexandria via LeMat-Bulk).

Cell: 2.5340 2.5340 10.5107 Å, 90.00 90.00 90.00°
Last column: nearest neighbours and their distance in Å.
Positions (direct):
Ni: 0.0000 0.0000 0.8263  8 Ni 2.48-2.53, 4 Zn 2.56
Ni: 0.0000 0.0000 0.1737  8 Ni 2.48-2.53, 4 Zn 2.56
Ni: 0.5000 0.5000 0.6631  12 Ni 2.48-2.53
Ni: 0.5000 0.5000 0.3369  12 Ni 2.48-2.53
Ni: 0.0000 0.0000 0.5000  12 Ni 2.48-2.53
Zn: 0.5000 0.5000 0.0000  4 Zn 2.53, 8 Ni 2.56

Properties
formation energy	-0.056	eV/atom

=====

# 4
# Al2HgOs

A geometry-optimized Al2HgOs structure (PBE, Alexandria via LeMat-Bulk).

Cell: 5.0497 5.0497 5.0497 Å, 134.84 134.84 65.77°
Last column: nearest neighbours and their distance in Å.
Positions (direct):
Os: 0.7500 0.2500 0.5000  8 Al 2.74-2.87, 4 Hg 2.87
Hg: 0.5000 0.5000 0.0000  8 Al 2.74-2.87, 4 Os 2.87
Al: 0.0000 0.0000 0.0000  4 Hg 2.74, 4 Os 2.87, 4 Al 2.87
Al: 0.2500 0.7500 0.5000  4 Os 2.74, 4 Al 2.87, 4 Hg 2.87

Properties
formation energy	0.109	eV/atom

=====

# 5
# LaSm2Gd

A geometry-optimized LaSm2Gd structure (PBE, Alexandria via LeMat-Bulk).

Cell: 3.6604 3.6604 10.2554 Å, 90.00 90.00 90.00°
Last column: nearest neighbours and their distance in Å.
Positions (direct):
Gd: 0.5000 0.5000 0.0000  8 Sm 3.61, 4 Gd 3.66
Sm: 0.0000 0.0000 0.7550  4 Gd 3.61, 4 Sm 3.66, 4 La 3.68
Sm: 0.0000 0.0000 0.2450  4 Gd 3.61, 4 Sm 3.66, 4 La 3.68
La: 0.5000 0.5000 0.5000  4 La 3.66, 8 Sm 3.68

Properties
E above lowest polymorph	6.3	meV/atom
formation energy	0.023	eV/atom

=====

# 6
# Pm2DyOs

A geometry-optimized Pm2DyOs structure (PBE, Alexandria via LeMat-Bulk).

Cell: 6.4386 7.4481 9.4050 Å, 90.00 90.00 90.00°
Last column: nearest neighbours and their distance in Å.
Positions (direct):
Pm: 0.1707 0.6755 0.0642  2 Os 2.92-3.00
Pm: 0.3293 0.1755 0.4358  2 Os 2.92-3.00
Pm: 0.8293 0.3245 0.5642  2 Os 2.92-3.00
Pm: 0.6707 0.8245 0.9358  2 Os 2.92-3.00
Pm: 0.8293 0.3245 0.9358  2 Os 2.92-3.00
Pm: 0.6707 0.8245 0.5642  2 Os 2.92-3.00
Pm: 0.1707 0.6755 0.4358  2 Os 2.92-3.00
Pm: 0.3293 0.1755 0.0642  2 Os 2.92-3.00
Dy: 0.6386 0.5425 0.2500  2 Os 2.78-2.82
Dy: 0.8614 0.0425 0.2500  2 Os 2.78-2.82
Dy: 0.3614 0.4575 0.7500  2 Os 2.78-2.82
Dy: 0.1386 0.9575 0.7500  2 Os 2.78-2.82
Os: 0.0369 0.3842 0.2500  2 Dy 2.78-2.82, 4 Pm 2.92-3.00
Os: 0.4631 0.8842 0.2500  2 Dy 2.78-2.82, 4 Pm 2.92-3.00
Os: 0.9631 0.6158 0.7500  2 Dy 2.78-2.82, 4 Pm 2.92-3.00
Os: 0.5369 0.1158 0.7500  2 Dy 2.78-2.82, 4 Pm 2.92-3.00

Properties
E above lowest polymorph	0.0	meV/atom
formation energy	-0.167	eV/atom

=====

# 7
# AcTb

A geometry-optimized AcTb structure (PBE, Alexandria via LeMat-Bulk).

Cell: 6.0400 6.0400 6.0173 Å, 59.88 59.88 60.00°
Last column: nearest neighbours and their distance in Å.
Positions (direct):
Ac: 0.3733 0.3733 0.8801  4 Tb 3.68-3.70, 4 Ac 3.68-3.73
Ac: 0.6267 0.6267 0.1199  4 Tb 3.68-3.70, 4 Ac 3.68-3.73
Tb: 0.1233 0.1233 0.6301  4 Tb 3.63-3.71, 4 Ac 3.68-3.70
Tb: 0.8767 0.8767 0.3699  4 Tb 3.63-3.71, 4 Ac 3.68-3.70

Properties
E above lowest polymorph	138.4	meV/atom
formation energy	0.197	eV/atom

=====

# 8
# SmGd2Ag

A geometry-optimized SmGd2Ag structure (PBE, Alexandria via LeMat-Bulk).

Cell: 5.3988 5.3988 5.3988 Å, 60.00 60.00 60.00°
Last column: nearest neighbours and their distance in Å.
Positions (direct):
Gd: 0.2500 0.2500 0.2500  4 Sm 3.31, 4 Ag 3.31
Gd: 0.7500 0.7500 0.7500  4 Sm 3.31, 4 Ag 3.31
Ag: 0.5000 0.5000 0.5000  8 Gd 3.31
Sm: 0.0000 0.0000 0.0000  8 Gd 3.31

Properties
E above lowest polymorph	187.4	meV/atom
formation energy	0.061	eV/atom

=====

# 9
# Sm3AlH

A geometry-optimized Sm3AlH structure (PBE, Alexandria via LeMat-Bulk).

Cell: 4.8772 4.8772 4.8772 Å, 90.00 90.00 90.00°
Last column: nearest neighbours and their distance in Å.
Positions (direct):
H: 0.0000 0.0000 0.0000  6 Sm 2.44
Al: 0.5000 0.5000 0.5000  12 Sm 3.45
Sm: 0.0000 0.5000 0.0000  2 H 2.44
Sm: 0.0000 0.0000 0.5000  2 H 2.44
Sm: 0.5000 0.0000 0.0000  2 H 2.44

Properties
energy	-22.62	eV per cell

=====

# 10
# CrSnAu14

A geometry-optimized CrSnAu14 structure (PBE, Alexandria via LeMat-Bulk).

Cell: 5.9194 5.9194 9.5759 Å, 90.00 90.00 119.61°
Last column: nearest neighbours and their distance in Å.
Positions (direct):
Cr: 0.0443 0.9557 0.5000  10 Au 2.90-2.97, 2 Sn 2.98
Sn: 0.5473 0.4527 0.5000  10 Au 2.92-3.02, 2 Cr 2.98
Au: 0.2053 0.7947 0.0000  12 Au 2.92-2.98
Au: 0.7054 0.2946 0.0000  12 Au 2.95-2.98
Au: 0.0491 0.4560 0.5000  8 Au 2.92-3.01, 2 Cr 2.95-2.97, 2 Sn 2.96
Au: 0.2054 0.2925 0.0000  12 Au 2.91-2.99
Au: 0.5440 0.9509 0.5000  8 Au 2.92-3.01, 2 Cr 2.95-2.97, 2 Sn 2.96
Au: 0.7075 0.7946 0.0000  12 Au 2.91-2.99
Au: 0.3692 0.1222 0.7478  1 Cr 2.90, 1 Sn 2.92, 10 Au 2.93-3.03
Au: 0.3692 0.1222 0.2522  1 Cr 2.90, 1 Sn 2.92, 10 Au 2.93-3.03
Au: 0.8778 0.6308 0.7478  1 Cr 2.90, 1 Sn 2.92, 10 Au 2.93-3.03
Au: 0.8778 0.6308 0.2522  1 Cr 2.90, 1 Sn 2.92, 10 Au 2.93-3.03
Au: 0.3736 0.6264 0.7544  11 Au 2.91-2.98, 1 Sn 3.02
Au: 0.3736 0.6264 0.2456  11 Au 2.91-2.98, 1 Sn 3.02
Au: 0.8753 0.1247 0.7475  11 Au 2.92-2.99, 1 Cr 2.93
Au: 0.8753 0.1247 0.2525  11 Au 2.92-2.99, 1 Cr 2.93

Properties
formation energy	0.021	eV/atom

=====

# 11
# Sc2ZnS

A geometry-optimized Sc2ZnS structure (PBE, Alexandria via LeMat-Bulk).

Cell: 4.6788 4.6788 4.6788 Å, 60.00 60.00 60.00°
Last column: nearest neighbours and their distance in Å.
Positions (direct):
Sc: 0.2500 0.2500 0.2500  4 S 2.87, 4 Zn 2.87
Sc: 0.7500 0.7500 0.7500  4 S 2.87, 4 Zn 2.87
Zn: 0.5000 0.5000 0.5000  8 Sc 2.87
S: 0.0000 0.0000 0.0000  8 Sc 2.87

Properties
E_form (uncorrected)	-567	meV/atom
E above lowest polymorph	536.2	meV/atom

=====

# 12
# Ta8NbMo2

A geometry-optimized Ta8NbMo2 structure (PBE, Alexandria via LeMat-Bulk).

Cell: 4.6533 7.1129 7.3970 Å, 120.93 108.33 90.00°
Last column: nearest neighbours and their distance in Å.
Positions (direct):
Ta: 0.5951 0.7333 0.1903  3 Mo 2.81-2.82, 1 Nb 2.85, 4 Ta 2.91-2.92
Ta: 0.3181 0.5574 0.6361  1 Mo 2.76, 1 Nb 2.78, 6 Ta 2.84-2.91
Ta: 0.1398 0.0867 0.2797  3 Mo 2.78-2.84, 2 Nb 2.89, 3 Ta 2.89-2.92
Ta: 0.0499 0.3727 0.0998  1 Mo 2.75, 7 Ta 2.83-2.92
Ta: 0.8602 0.9133 0.7203  3 Mo 2.78-2.84, 2 Nb 2.89, 3 Ta 2.89-2.92
Ta: 0.6819 0.4426 0.3639  1 Mo 2.76, 1 Nb 2.78, 6 Ta 2.84-2.91
Ta: 0.4049 0.2667 0.8097  3 Mo 2.81-2.82, 1 Nb 2.85, 4 Ta 2.91-2.92
Ta: 0.9501 0.6273 0.9002  1 Mo 2.75, 7 Ta 2.83-2.92
Nb: 0.5000 0.0000 0.0000  8 Ta 2.78-2.89
Mo: 0.2255 0.8148 0.4510  8 Ta 2.75-2.84
Mo: 0.7745 0.1852 0.5490  8 Ta 2.75-2.84

Properties
formation energy	-0.083	eV/atom

=====

# 13
# PmDyCdCu

A geometry-optimized PmDyCdCu structure (PBE, Alexandria via LeMat-Bulk).

Cell: 5.1860 5.1860 5.1860 Å, 60.00 60.00 60.00°
Last column: nearest neighbours and their distance in Å.
Positions (direct):
Cd: 0.7500 0.7500 0.7500  4 Dy 3.18, 4 Pm 3.18
Pm: 0.5000 0.5000 0.5000  4 Cd 3.18, 4 Cu 3.18
Cu: 0.2500 0.2500 0.2500  4 Dy 3.18, 4 Pm 3.18
Dy: 0.0000 0.0000 0.0000  4 Cd 3.18, 4 Cu 3.18

Properties
formation energy	-0.208	eV/atom

=====

# 14
# PuCoSi2

A geometry-optimized PuCoSi2 structure (PBE, Alexandria via LeMat-Bulk).

Cell: 3.9689 3.9508 8.5492 Å, 103.36 90.00 90.00°
Last column: nearest neighbours and their distance in Å.
Positions (direct):
Pu: 0.0000 0.8555 0.7111  10 Si 3.00-3.13, 4 Co 3.04
Pu: 0.0000 0.1445 0.2889  10 Si 3.00-3.13, 4 Co 3.04
Co: 0.5000 0.5739 0.1479  5 Si 2.26-2.33, 1 Co 2.46
Co: 0.5000 0.4261 0.8521  5 Si 2.26-2.33, 1 Co 2.46
Si: 0.0000 0.5000 0.0000  4 Co 2.33
Si: 0.5000 0.0000 0.0000  4 Co 2.33
Si: 0.5000 0.7099 0.4197  1 Co 2.26, 2 Si 2.38
Si: 0.5000 0.2901 0.5803  1 Co 2.26, 2 Si 2.38

Properties
E_form (uncorrected)	-560	meV/atom

=====

# 15
# PrNd10Tm6

A geometry-optimized PrNd10Tm6 structure (PBE, Alexandria via LeMat-Bulk).

Cell: 6.9120 9.8387 9.8387 Å, 120.00 90.00 90.00°
Last column: nearest neighbours and their distance in Å.
Positions (direct):
Pr: 0.5000 0.0000 0.0000  6 Nd 3.54, 6 Tm 3.83
Nd: 0.8220 0.7204 0.7204  5 Tm 3.41-3.60, 1 Pr 3.54, 4 Nd 3.69-3.78
Nd: 0.8220 0.0000 0.2796  5 Tm 3.41-3.60, 1 Pr 3.54, 4 Nd 3.69-3.78
Nd: 0.8220 0.2796 0.0000  5 Tm 3.41-3.60, 1 Pr 3.54, 4 Nd 3.69-3.78
Nd: 0.1780 0.2796 0.2796  5 Tm 3.41-3.60, 1 Pr 3.54, 4 Nd 3.69-3.78
Nd: 0.1780 0.0000 0.7204  5 Tm 3.41-3.60, 1 Pr 3.54, 4 Nd 3.69-3.78
Nd: 0.1780 0.7204 0.0000  5 Tm 3.41-3.60, 1 Pr 3.54, 4 Nd 3.69-3.78
Nd: 0.5000 0.3333 0.6667  6 Tm 3.37, 2 Nd 3.46
Nd: 0.5000 0.6667 0.3333  6 Tm 3.37, 2 Nd 3.46
Nd: 0.0000 0.6667 0.3333  8 Nd 3.46-3.78, 6 Tm 3.81
Nd: 0.0000 0.3333 0.6667  8 Nd 3.46-3.78, 6 Tm 3.81
Tm: 0.6837 0.3675 0.3675  7 Nd 3.37-3.60, 1 Tm 3.64
Tm: 0.6837 0.0000 0.6325  7 Nd 3.37-3.60, 1 Tm 3.64
Tm: 0.6837 0.6325 0.0000  7 Nd 3.37-3.60, 1 Tm 3.64
Tm: 0.3163 0.6325 0.6325  7 Nd 3.37-3.60, 1 Tm 3.64
Tm: 0.3163 0.0000 0.3675  7 Nd 3.37-3.60, 1 Tm 3.64
Tm: 0.3163 0.3675 0.0000  7 Nd 3.37-3.60, 1 Tm 3.64

Properties
formation energy	0.133	eV/atom

=====

# 16
# Pm2Cr2C3

A geometry-optimized Pm2Cr2C3 structure (PBE, Alexandria via LeMat-Bulk).

Cell: 3.5150 5.7478 5.4654 Å, 104.55 108.76 90.00°
Last column: nearest neighbours and their distance in Å.
Positions (direct):
Pm: 0.6008 0.8177 0.2015  3 C 2.55-2.62
Pm: 0.3992 0.1823 0.7985  3 C 2.55-2.62
Cr: 0.8404 0.6011 0.6808  4 C 1.89-1.98
Cr: 0.1596 0.3989 0.3192  4 C 1.89-1.98
C: 0.0000 0.5000 0.0000  2 Cr 1.89
C: 0.2966 0.7146 0.5933  3 Cr 1.97-1.98
C: 0.7034 0.2854 0.4067  3 Cr 1.97-1.98

Properties
formation energy	-0.228	eV/atom

=====

# 17
# PmNd2Dy6Tm

A geometry-optimized PmNd2Dy6Tm structure (PBE, Alexandria via LeMat-Bulk).

Cell: 9.7006 8.7883 8.7883 Å, 117.96 94.45 94.45°
Last column: nearest neighbours and their distance in Å.
Positions (direct):
Pm: 0.2500 0.9815 0.0185  4 Nd 3.38-3.39, 4 Dy 3.60-3.66
Pm: 0.7500 0.0185 0.9815  4 Nd 3.38-3.39, 4 Dy 3.60-3.66
Nd: 0.4568 0.8041 0.7019  5 Dy 3.27-3.55, 2 Pm 3.38-3.39, 1 Tm 3.55
Nd: 0.0432 0.2981 0.1959  5 Dy 3.27-3.55, 2 Pm 3.38-3.39, 1 Tm 3.55
Nd: 0.5432 0.1959 0.2981  5 Dy 3.27-3.55, 2 Pm 3.38-3.39, 1 Tm 3.55
Nd: 0.9568 0.7019 0.8041  5 Dy 3.27-3.55, 2 Pm 3.38-3.39, 1 Tm 3.55
Dy: 0.0572 0.1236 0.7427  8 Dy 3.41-3.79, 1 Nd 3.55, 1 Pm 3.66, 1 Tm 3.77
Dy: 0.4428 0.2573 0.8764  8 Dy 3.41-3.79, 1 Nd 3.55, 1 Pm 3.66, 1 Tm 3.77
Dy: 0.9428 0.8764 0.2573  8 Dy 3.41-3.79, 1 Nd 3.55, 1 Pm 3.66, 1 Tm 3.77
Dy: 0.5572 0.7427 0.1236  8 Dy 3.41-3.79, 1 Nd 3.55, 1 Pm 3.66, 1 Tm 3.77
Dy: 0.3130 0.9811 0.4278  2 Dy 3.24-3.58, 1 Nd 3.41, 1 Tm 3.45, 1 Pm 3.60
Dy: 0.1870 0.5722 0.0189  2 Dy 3.24-3.58, 1 Nd 3.41, 1 Tm 3.45, 1 Pm 3.60
Dy: 0.6870 0.0189 0.5722  2 Dy 3.24-3.58, 1 Nd 3.41, 1 Tm 3.45, 1 Pm 3.60
Dy: 0.8130 0.4278 0.9811  2 Dy 3.24-3.58, 1 Nd 3.41, 1 Tm 3.45, 1 Pm 3.60
Dy: 0.1189 0.7056 0.4930  4 Dy 3.24-3.50, 3 Nd 3.27-3.46, 2 Tm 3.42-3.56
Dy: 0.3811 0.5070 0.2944  4 Dy 3.24-3.50, 3 Nd 3.27-3.46, 2 Tm 3.42-3.56
Dy: 0.8811 0.2944 0.5070  4 Dy 3.24-3.50, 3 Nd 3.27-3.46, 2 Tm 3.42-3.56
Dy: 0.6189 0.4930 0.7056  4 Dy 3.24-3.50, 3 Nd 3.27-3.46, 2 Tm 3.42-3.56
Tm: 0.2500 0.4076 0.5924  8 Dy 3.42-3.77, 2 Nd 3.55
Tm: 0.7500 0.5924 0.4076  8 Dy 3.42-3.77, 2 Nd 3.55

Properties
formation energy	0.116	eV/atom